Below is crystalline Er4GePbSe2 at its relaxed geometry, with properties calculated at the PBE level.

The space group is P2/m (No. 10) and the conventional cell measures 7.244, 4.123 and 7.301 Å, with angles of 90.00, 109.15 and 90.00 degrees. The distinct sites, in fractional coordinates, are Er at (0.241, 0.000, 0.236), Er at (0.252, 0.500, 0.765), Ge at (0.000, 0.500, 0.000), Pb at (0.000, 0.000, 0.500), Se at (0.500, 0.000, 0.000) and Se at (0.500, 0.500, 0.500).


Below is crystalline Er6Ge2PbSe3 at its relaxed geometry, with properties calculated at the PBE level.

The space group is C2/m (No. 12) and the conventional cell measures 18.116, 4.116 and 8.371 Å, with angles of 90.00, 103.24 and 90.00 degrees. The distinct sites, in fractional coordinates, are Er at (0.005, 0.000, 0.263), Er at (0.171, 0.500, 0.100), Er at (0.172, 0.500, 0.575), Ge at (0.167, 0.000, 0.335), Pb at (0.000, 0.500, 0.000), Se at (0.000, 0.500, 0.500) and Se at (0.166, 0.000, 0.832).


Below is crystalline Er4GeTe2Pb at its relaxed geometry, with properties calculated at the PBE level.

The space group is P2/m (No. 10) and the conventional cell measures 7.503, 4.280 and 7.510 Å, with angles of 90.00, 109.12 and 90.00 degrees. The distinct sites, in fractional coordinates, are Er at (0.230, 0.000, 0.223), Er at (0.243, 0.500, 0.768), Ge at (0.000, 0.500, 0.000), Te at (0.000, 0.000, 0.500), Te at (0.500, 0.500, 0.500) and Pb at (0.500, 0.000, 0.000).


no.,formation energy without anion corrections (meV/atom)
1,-1192
2,-1253
3,-1007